BeSb3Au | PBE | relaxed

Cell: 5.385 5.385 5.385 Å, 90.00 90.00 90.00°
Space group Pm-3m (No. 221)
One atom of each set of equivalent atoms:
Be 0.000 0.000 0.000 (multiplicity 1)
Sb 0.000 0.500 0.500 (multiplicity 3)
Au 0.500 0.500 0.500 (multiplicity 1)

Summary:
ΔE_f (raw)	1.1148	eV per atom
energy relative to the lowest polymorph listed for this composition	2.972	eV/f.u.
theoretical density	6.1	g cm⁻³
E_tot	-13.80	eV for the cell shown